TaMo2Au | SCAN | PBEsol geometry

Cell: 2.7066 4.6274 5.2615 Å, 90.00 98.50 90.00°
Space group P2/m (No. 10)
Inequivalent atoms, fractional coordinates:
Ta1 0.0000 0.0000 0.0000 (multiplicity 1)
Mo1 0.2751 0.5000 0.7650 (multiplicity 2)
Au1 0.5000 0.0000 0.5000 (multiplicity 1)

## Properties
Magnetic moment, μB per formula unit: 0.00
Electronic total energy, eV/atom: -51.2488
Energy of formation, eV per atom: 0.13

=====

Ta4MoAu | SCAN | PBEsol geometry

Cell: 7.5161 7.5161 7.5161 Å, 90.00 90.00 90.00°
Space group F-43m (No. 216)
Inequivalent atoms, fractional coordinates:
Ta1 0.1233 0.1233 0.1233 (multiplicity 16)
Mo1 0.2500 0.2500 0.7500 (multiplicity 4)
Au1 0.0000 0.0000 0.5000 (multiplicity 4)

## Properties
Magnetic moment, μB per formula unit: 0.00
Electronic total energy, eV/atom: -61.3875
Energy of formation, eV per atom: 0.34

=====

TcMo2Au | SCAN | PBEsol geometry

Cell: 6.2773 6.2773 6.2773 Å, 90.00 90.00 90.00°
Space group Fm-3m (No. 225)
Inequivalent atoms, fractional coordinates:
Tc1 0.0000 0.0000 0.0000 (multiplicity 4)
Mo1 0.2500 0.2500 0.2500 (multiplicity 8)
Au1 0.0000 0.0000 0.5000 (multiplicity 4)

## Properties
Magnetic moment, μB per formula unit: 0.00
Energy relative to the lowest polymorph listed for this composition, eV per atom: 0.188
Electronic total energy, eV/atom: -43.0626
Energy of formation, eV per atom: 0.43

=====

TcMoAu | SCAN | PBEsol geometry

Cell: 5.9939 5.9939 5.9939 Å, 90.00 90.00 90.00°
Space group F-43m (No. 216)
Inequivalent atoms, fractional coordinates:
Tc1 0.0000 0.0000 0.0000 (multiplicity 4)
Mo1 0.2500 0.2500 0.2500 (multiplicity 4)
Au1 0.0000 0.0000 0.5000 (multiplicity 4)

## Properties
Magnetic moment, μB per formula unit: 0.00
Electronic total energy, eV/atom: -45.7138
Energy of formation, eV per atom: 0.65